[1]
Compound: Ru3ClO12
Source: the Alexandria database
Functional: PBE
Structure: optimized geometry

Summary:
formation energy without anion corrections	-0.498	eV/atom

Unit cell a=9.123 b=9.123 c=10.771 alpha=64.94 beta=64.94 gamma=60.00
Fractional coordinates of all 32 atoms:
Ru: 0.635 0.340 0.004
Ru: 0.135 0.522 0.504
Ru: 0.840 0.135 0.504
Ru: 0.340 0.022 0.004
Ru: 0.022 0.635 0.004
Ru: 0.522 0.840 0.504
Cl: 0.084 0.084 0.749
Cl: 0.584 0.584 0.249
O: 0.123 0.109 0.008
O: 0.256 0.304 0.507
O: 0.856 0.956 0.650
O: 0.564 0.449 0.852
O: 0.064 0.635 0.352
O: 0.356 0.038 0.150
O: 0.756 0.433 0.007
O: 0.956 0.538 0.650
O: 0.623 0.261 0.508
O: 0.933 0.256 0.507
O: 0.949 0.064 0.352
O: 0.261 0.609 0.508
O: 0.038 0.456 0.150
O: 0.761 0.123 0.008
O: 0.449 0.135 0.852
O: 0.433 0.804 0.007
O: 0.804 0.756 0.007
O: 0.456 0.356 0.150
O: 0.609 0.623 0.508
O: 0.135 0.564 0.852
O: 0.635 0.949 0.352
O: 0.109 0.761 0.008
O: 0.304 0.933 0.507
O: 0.538 0.856 0.650

=====

[2]
Compound: ErCu2Rh4
Source: the Alexandria database
Functional: PBE
Structure: optimized geometry

Summary:
Fermi-level density of states	1.6074	states/eV/atom
energy of formation	-0.22	eV/atom

Unit cell a=4.958 b=5.293 c=5.293 alpha=77.44 beta=62.16 gamma=62.16
Fractional coordinates of all 7 atoms:
Rh: 0.696 0.608 0.000
Rh: 0.304 0.392 0.000
Rh: 0.696 0.000 0.608
Rh: 0.304 0.000 0.392
Cu: 0.750 0.500 0.500
Cu: 0.250 0.500 0.500
Er: 0.000 0.000 0.000

=====

[3]
Compound: MgSb2Cl
Source: the Alexandria database
Functional: PBE
Structure: optimized geometry

Summary:
energy above the most stable polymorph in this dataset	0.445	eV/atom
formation energy without anion corrections	-0.090	eV/atom
Fermi-level density of states	0.4300	states/eV/atom

Unit cell a=6.381 b=6.381 c=3.209 alpha=90.00 beta=90.00 gamma=126.97
Fractional coordinates of all 4 atoms:
Cl: 0.500 0.000 0.500
Mg: 0.000 0.500 0.500
Sb: 0.000 0.000 0.000
Sb: 0.500 0.500 0.000

=====

[4]
Compound: BaBe2Pb
Source: the Alexandria database
Functional: PBE
Structure: optimized geometry

Summary:
Fermi-level density of states	0.4561	states/eV/atom
energy of formation	0.16	eV/atom

Unit cell a=4.099 b=4.099 c=7.023 alpha=73.13 beta=73.13 gamma=59.99
Fractional coordinates of all 4 atoms:
Pb: 0.458 0.458 0.625
Be: 0.055 0.055 0.836
Be: 0.721 0.721 0.835
Ba: 0.265 0.265 0.203

=====

[5]
Compound: Pr6Ge2Te3I
Source: the Alexandria database
Functional: PBE
Structure: optimized geometry

Summary:
formation energy without anion corrections	-1.238	eV/atom
Fermi-level density of states	0.3975	states/eV/atom

Unit cell a=4.435 b=9.088 c=10.037 alpha=102.45 beta=102.76 gamma=90.00
Fractional coordinates of all 12 atoms:
Pr: 0.324 0.882 0.647
Pr: 0.672 0.571 0.345
Pr: 0.676 0.118 0.353
Pr: 0.016 0.274 0.032
Pr: 0.984 0.726 0.968
Pr: 0.328 0.429 0.655
Ge: 0.831 0.664 0.661
Ge: 0.169 0.336 0.339
Te: 0.500 0.500 0.000
Te: 0.842 0.163 0.684
Te: 0.158 0.837 0.316
I: 0.500 0.000 0.000

=====

[6]
Compound: CrMoN
Source: the Alexandria database
Functional: PBE
Structure: optimized geometry

Summary:
energy above the most stable polymorph in this dataset	0.057	eV/atom
formation energy without anion corrections	-0.112	eV/atom
Fermi-level density of states	1.1683	states/eV/atom

Unit cell a=2.662 b=5.014 c=4.934 alpha=90.00 beta=90.00 gamma=90.00
Fractional coordinates of all 6 atoms:
Cr: 0.500 0.336 0.250
Cr: 0.500 0.664 0.750
Mo: 0.000 0.154 0.750
Mo: 0.000 0.846 0.250
N: 0.000 0.500 0.500
N: 0.000 0.500 0.000

=====

[7]
Compound: Cd3BiAu2
Source: the Alexandria database
Functional: PBE
Structure: optimized geometry

Summary:
Fermi-level density of states	0.3490	states/eV/atom
energy of formation	-0.07	eV/atom

Unit cell a=4.524 b=9.986 c=9.980 alpha=104.36 beta=90.00 gamma=103.09
Fractional coordinates of all 18 atoms:
Cd: 0.051 0.102 0.342
Cd: 0.949 0.898 0.658
Cd: 0.215 0.429 0.376
Cd: 0.785 0.571 0.624
Cd: 0.614 0.229 0.184
Cd: 0.386 0.771 0.816
Cd: 0.500 0.000 0.500
Cd: 0.309 0.618 0.079
Cd: 0.691 0.382 0.921
Bi: 0.119 0.239 0.687
Bi: 0.881 0.761 0.313
Bi: 0.000 0.000 0.000
Au: 0.165 0.331 0.074
Au: 0.835 0.669 0.926
Au: 0.462 0.925 0.192
Au: 0.538 0.075 0.808
Au: 0.356 0.711 0.519
Au: 0.644 0.289 0.481

=====

[8]
Compound: Li2RePd
Source: the Alexandria database
Functional: PBE
Structure: optimized geometry

Summary:
energy above the most stable polymorph in this dataset	0.494	eV/atom
Fermi-level density of states	0.9474	states/eV/atom
energy of formation	0.58	eV/atom

Unit cell a=4.225 b=4.225 c=4.225 alpha=60.00 beta=60.00 gamma=60.00
Fractional coordinates of all 4 atoms:
Re: 0.500 0.500 0.500
Pd: 0.000 0.000 0.000
Li: 0.250 0.250 0.250
Li: 0.750 0.750 0.750

=====

[9]
Compound: TbLuGeIr
Source: the Alexandria database
Functional: PBE
Structure: optimized geometry

Summary:
Fermi-level density of states	0.7377	states/eV/atom
energy of formation	-0.71	eV/atom

Unit cell a=4.919 b=4.919 c=4.919 alpha=60.00 beta=60.00 gamma=60.00
Fractional coordinates of all 4 atoms:
Tb: 0.000 0.000 0.000
Ge: 0.250 0.250 0.250
Ir: 0.750 0.750 0.750
Lu: 0.500 0.500 0.500

=====

[10]
Compound: RbCaCuS2
Source: the Alexandria database
Functional: PBE
Structure: optimized geometry

Summary:
formation energy without anion corrections	-1.189	eV/atom
Fermi-level density of states	0.0000	states/eV/atom

Unit cell a=5.353 b=7.465 c=8.335 alpha=116.60 beta=90.00 gamma=90.00
Fractional coordinates of all 10 atoms:
Rb: 0.228 0.750 0.500
Rb: 0.772 0.250 0.500
Ca: 0.500 0.750 0.000
Ca: 0.500 0.250 0.000
Cu: 0.000 0.000 0.000
Cu: 0.000 0.500 0.000
S: 0.734 0.892 0.784
S: 0.734 0.608 0.216
S: 0.266 0.392 0.784
S: 0.266 0.108 0.216

=====

[11]
Compound: PmPrSn
Source: the Alexandria database
Functional: PBE
Structure: optimized geometry

Summary:
energy above the most stable polymorph in this dataset	0.213	eV/atom
Fermi-level density of states	0.8638	states/eV/atom
energy of formation	-0.37	eV/atom

Unit cell a=3.975 b=5.229 c=5.229 alpha=120.00 beta=90.00 gamma=90.00
Fractional coordinates of all 3 atoms:
Pr: 0.625 0.333 0.667
Sn: 0.315 0.667 0.333
Pm: 0.059 0.000 0.000

=====

[12]
Compound: ScAlRe2N
Source: the Alexandria database
Functional: PBE
Structure: optimized geometry

Summary:
formation energy without anion corrections	1.259	eV/atom
Fermi-level density of states	0.9461	states/eV/atom

Unit cell a=4.814 b=3.504 c=4.814 alpha=90.00 beta=90.00 gamma=90.00
Fractional coordinates of all 5 atoms:
Sc: 0.500 0.500 0.500
Re: 0.000 0.000 0.500
Re: 0.500 0.000 0.000
Al: 0.000 0.000 0.000
N: 0.000 0.500 0.000

=====

Table of size of the total moment (μB per cell), in record order: 2.0; 1.0; 0.0; 0.0; 0.0; 0.0; 0.0; 2.2; 0.0; 0.0; 0.0; 0.0
Table of E (eV per atom), in record order: -6.0713; -6.2386; -3.0115; -3.1123; -5.3117; -9.7057; -2.2660; -4.7852; -6.3667; -4.2534; -4.8854; -7.4004